InSnPSe2 (meta-GGA SCAN, PBEsol geometry); density of states at the Fermi level = 4.49 states/eV per cell; E_form (uncorrected) = 488 meV/atom; mass density = 5.3 Mg/m³
1.0
-1.406 1.493 4.461
-4.971 -0.586 -1.371
0.116 -4.909 1.679
P Sn Se In
1 1 2 1
direct
0.500 0.000 0.000
0.500 0.500 0.500
0.000 0.000 0.500
0.000 0.500 0.000
0.000 0.000 0.000